Sn2GeTe: relaxed, GGA-PBE.

Structure (CIF):
```
data_Sn2GeTe
_chemical_formula_sum 'Sn6 Ge3 Te3'
_space_group_name_H-M_alt 'R -3 m'
_space_group_IT_number 166
_space_group_name_Hall '-R 3 2"'
_cell_length_a 4.2468
_cell_length_b 4.2468
_cell_length_c 21.1899
_cell_angle_alpha 90.00
_cell_angle_beta 90.00
_cell_angle_gamma 120.00
loop_
_atom_site_label
_atom_site_type_symbol
_atom_site_fract_x
_atom_site_fract_y
_atom_site_fract_z
Sn1 Sn 0.0000 0.0000 0.2384
Ge1 Ge 0.0000 0.0000 0.5000
Te1 Te 0.0000 0.0000 0.0000
```

Summary:
The calculation puts the raw formation energy at -12 meV/atom.